[1]
This record from Alexandria describes a geometry-optimized MgCoB2 structure. The functional is PBE.

total DFT energy (no corrections): -5.35 eV per atom
density of states at the Fermi level: 0.622 states/eV/atom
ΔE_f: 166 meV/atom
volume: 92 Å³ per cell

abc: 3.6589 3.6589 7.3392
angles: 75.57 75.57 90.00
Each line ends with the local moment (μB).
Atoms (fractional coordinates):
Mg: 0.5000 0.5000 0.0000  0.00
Mg: 0.2500 0.7500 0.5000  0.00
B: 0.8750 0.1250 0.2500  0.03
B: 0.8750 0.6250 0.2500  0.03
B: 0.3750 0.1250 0.7500  0.02
B: 0.8750 0.1250 0.7500  0.02
Co: 0.0000 0.0000 0.0000  0.36
Co: 0.7500 0.2500 0.5000  0.36

=====

[2]
This record from Alexandria describes a geometry-optimized MgCo2B structure. The functional is PBE.

total DFT energy (no corrections): -5.37 eV per atom
density of states at the Fermi level: 0.567 states/eV/atom
ΔE_f: 253 meV/atom
volume: 40 Å³ per cell

abc: 3.8480 3.8480 3.8480
angles: 60.00 60.00 60.00
Atoms (fractional coordinates):
Mg: 0.5000 0.5000 0.5000
B: 0.0000 0.0000 0.0000
Co: 0.2500 0.2500 0.2500
Co: 0.7500 0.7500 0.7500

=====

[3]
This record from Alexandria describes a geometry-optimized MgCo2B structure. The functional is PBE.

total DFT energy (no corrections): -5.13 eV per atom
density of states at the Fermi level: 0.784 states/eV/atom
ΔE_f: 486 meV/atom
volume: 114 Å³ per cell

abc: 4.1121 4.1121 7.3184
angles: 73.68 73.68 90.00
Each line ends with the local moment (μB).
Atoms (fractional coordinates):
Mg: 0.0000 0.0000 0.0000  -0.01
Mg: 0.7500 0.2500 0.5000  -0.01
B: 0.5000 0.5000 0.0000  -0.04
B: 0.2500 0.7500 0.5000  -0.04
Co: 0.3006 0.1250 0.2500  0.58
Co: 0.4494 0.6250 0.2500  0.57
Co: 0.3750 0.6994 0.7500  0.54
Co: 0.8750 0.5506 0.7500  0.57

=====

[4]
This record from Alexandria describes a geometry-optimized MgCo2B structure. The functional is PBE.

total DFT energy (no corrections): -5.54 eV per atom
density of states at the Fermi level: 0.815 states/eV/atom
ΔE_f: 85 meV/atom
volume: 52 Å³ per cell

abc: 3.6316 3.6316 5.0214
angles: 68.80 68.80 60.00
Each line ends with the local moment (μB).
Atoms (fractional coordinates):
Mg: 0.0000 0.0000 0.0000  -0.02
B: 0.5000 0.5000 0.5000  -0.03
Co: 0.8084 0.8084 0.5748  0.97
Co: 0.1916 0.1916 0.4252  0.97

=====

[5]
This record from Alexandria describes a geometry-optimized MgCo3B structure. The functional is PBE.

total DFT energy (no corrections): -6.00 eV per atom
density of states at the Fermi level: 1.703 states/eV/atom
ΔE_f: -83 meV/atom
volume: 57 Å³ per cell

abc: 3.8401 3.8401 3.8401
angles: 90.00 90.00 90.00
Each line ends with the local moment (μB).
Atoms (fractional coordinates):
Mg: 0.5000 0.5000 0.5000  -0.02
B: 0.0000 0.0000 0.0000  -0.07
Co: 0.0000 0.5000 0.0000  0.76
Co: 0.0000 0.0000 0.5000  0.88
Co: 0.5000 0.0000 0.0000  0.58

=====

[6]
This record from Alexandria describes a geometry-optimized Mg2Co12B7 structure. The functional is PBE.

total DFT energy (no corrections): -6.66 eV per atom
density of states at the Fermi level: 0.989 states/eV/atom
ΔE_f: -219 meV/atom
volume: 198 Å³ per cell

abc: 3.3315 8.2918 8.2918
angles: 120.00 90.00 90.00
Atoms (fractional coordinates):
Mg: 0.5000 0.0000 0.0000
Mg: 0.0000 0.6667 0.3333
Co: 0.5000 0.8926 0.6151
Co: 0.5000 0.7225 0.1074
Co: 0.5000 0.3849 0.2775
Co: 0.5000 0.2373 0.7810
Co: 0.5000 0.5437 0.7627
Co: 0.5000 0.2190 0.4563
Co: 0.0000 0.0558 0.5416
Co: 0.0000 0.4859 0.9442
Co: 0.0000 0.4584 0.5141
Co: 0.0000 0.7680 0.7385
Co: 0.0000 0.9706 0.2320
Co: 0.0000 0.2615 0.0294
B: 0.0000 0.3333 0.6667
B: 0.0000 0.0320 0.7694
B: 0.0000 0.7374 0.9680
B: 0.0000 0.2306 0.2626
B: 0.5000 0.6233 0.5654
B: 0.5000 0.9420 0.3767
B: 0.5000 0.4346 0.0580

=====

Among the records above, which one has the highest volume? Mg2Co12B7

=====

Please write out number 1 again, unchanged.
This record from Alexandria describes a geometry-optimized MgCoB2 structure. The functional is PBE.

total DFT energy (no corrections): -5.35 eV per atom
density of states at the Fermi level: 0.622 states/eV/atom
ΔE_f: 166 meV/atom
volume: 92 Å³ per cell

abc: 3.6589 3.6589 7.3392
angles: 75.57 75.57 90.00
Each line ends with the local moment (μB).
Atoms (fractional coordinates):
Mg: 0.5000 0.5000 0.0000  0.00
Mg: 0.2500 0.7500 0.5000  0.00
B: 0.8750 0.1250 0.2500  0.03
B: 0.8750 0.6250 0.2500  0.03
B: 0.3750 0.1250 0.7500  0.02
B: 0.8750 0.1250 0.7500  0.02
Co: 0.0000 0.0000 0.0000  0.36
Co: 0.7500 0.2500 0.5000  0.36

=====

What did the fourth record say?
This record from Alexandria describes a geometry-optimized MgCo2B structure. The functional is PBE.

total DFT energy (no corrections): -5.54 eV per atom
density of states at the Fermi level: 0.815 states/eV/atom
ΔE_f: 85 meV/atom
volume: 52 Å³ per cell

abc: 3.6316 3.6316 5.0214
angles: 68.80 68.80 60.00
Each line ends with the local moment (μB).
Atoms (fractional coordinates):
Mg: 0.0000 0.0000 0.0000  -0.02
B: 0.5000 0.5000 0.5000  -0.03
Co: 0.8084 0.8084 0.5748  0.97
Co: 0.1916 0.1916 0.4252  0.97

=====

Number 6 is which compound? Mg2Co12B7